# 1
Compound: ZrZnSb2
Source: the Alexandria database
Functional: GGA-PBEsol
Structure: optimized geometry

a b c (Å): 4.0711 3.8332 11.0851
angles (deg): 90.00 90.00 90.00
Space group Amm2 (No. 38)
Symmetry-distinct sites (fractional):
Zr  0.0000  0.0000  0.0000
Zn  0.5000  0.0000  0.1800
Sb  0.0000  0.0000  0.7127
Sb  0.5000  0.0000  0.4241

Results
Raw formation energy, eV/atom: -0.412



# 2
Compound: Ca3ReGe
Source: the Alexandria database
Functional: GGA-PBEsol
Structure: optimized geometry

a b c (Å): 5.4803 5.4803 5.4803
angles (deg): 90.00 90.00 90.00
Space group Pm-3m (No. 221)
Symmetry-distinct sites (fractional):
Ca  0.0000  0.0000  0.5000
Re  0.5000  0.5000  0.5000
Ge  0.0000  0.0000  0.0000

Results
Energy above the most stable polymorph in this dataset, meV/atom: 133
E_form, eV per atom: 0.973



# 3
Compound: La2SiSnGe
Source: the Alexandria database
Functional: GGA-PBEsol
Structure: optimized geometry

a b c (Å): 5.6557 5.6557 4.6189
angles (deg): 90.00 90.00 90.00
Space group P4/mmm (No. 123)
Symmetry-distinct sites (fractional):
La  0.0000  0.5000  0.0000
Si  0.0000  0.0000  0.0000
Sn  0.5000  0.5000  0.5000
Ge  0.0000  0.0000  0.5000

Results
Raw formation energy, eV/atom: -0.225



# 4
Compound: Ba2Cd
Source: the Alexandria database
Functional: GGA-PBEsol
Structure: optimized geometry

a b c (Å): 4.1350 4.1350 31.6134
angles (deg): 90.00 90.00 90.00
Space group I4_1/amd (No. 141, origin choice 2)
Symmetry-distinct sites (fractional):
Ba  0.0000  0.2500  0.3119
Cd  0.0000  0.2500  0.8750

Results
E_form, eV per atom: -0.169



# 5
Compound: BaZrAs2O8
Source: the Alexandria database
Functional: GGA-PBEsol
Structure: optimized geometry

a b c (Å): 8.6759 5.6022 7.9647
angles (deg): 90.00 93.22 90.00
Space group C2/m (No. 12)
Symmetry-distinct sites (fractional):
Ba  0.0000  0.0000  0.0000
Zr  0.0000  0.0000  0.5000
As  0.1326  0.5000  0.2803
O  0.0202  0.2504  0.3059
O  0.1944  0.5000  0.0844
O  0.2310  0.0000  0.5578

Results
Raw formation energy, eV/atom: -2.171



# 6
Compound: Li2VF5
Source: the Alexandria database
Functional: GGA-PBEsol
Structure: optimized geometry

a b c (Å): 7.2241 6.9132 7.6098
angles (deg): 90.00 90.39 90.00
Space group Pc (No. 7)
Symmetry-distinct sites (fractional):
Li  0.0000  0.0100  0.0000
Li  0.2642  0.1957  0.2742
Li  0.5100  0.4845  0.4664
Li  0.7218  0.2604  0.7858
V  0.0077  0.4819  0.3599
V  0.5188  0.0092  0.5699
F  0.0123  0.4822  0.6102
F  0.0222  0.2016  0.3420
F  0.2549  0.0302  0.0713
F  0.2773  0.4553  0.3531
F  0.5026  0.0857  0.3186
F  0.5033  0.2782  0.6303
F  0.5602  0.2488  0.9962
F  0.7425  0.4720  0.3457
F  0.7760  0.0515  0.6063
F  0.9737  0.2410  0.8746

Results
Energy above the most stable polymorph in this dataset, meV/atom: 46
Raw formation energy, eV/atom: -2.867



# 7
Compound: Ta2InSi
Source: the Alexandria database
Functional: GGA-PBEsol
Structure: optimized geometry

a b c (Å): 3.5203 4.4002 8.8670
angles (deg): 90.00 90.00 90.00
Space group Imm2 (No. 44)
Symmetry-distinct sites (fractional):
Ta  0.0000  0.0000  0.0000
Ta  0.0000  0.5000  0.2459
In  0.0000  0.5000  0.7669
Si  0.0000  0.0000  0.5206

Results
Raw formation energy, eV/atom: 0.078



# 8
Compound: Y3Ag
Source: the Alexandria database
Functional: GGA-PBEsol
Structure: optimized geometry

a b c (Å): 6.8267 9.6654 6.6485
angles (deg): 90.00 90.00 90.00
Space group Pnma (No. 62)
Symmetry-distinct sites (fractional):
Y  0.0064  0.2500  0.1094
Y  0.2021  0.0510  0.6998
Ag  0.0736  0.7500  0.4670

Results
Energy above the most stable polymorph in this dataset, meV/atom: 0
E_form, eV per atom: -0.141



# 9
Compound: Mg2BeB
Source: the Alexandria database
Functional: GGA-PBEsol
Structure: optimized geometry

a b c (Å): 5.9073 5.9073 5.9073
angles (deg): 90.00 90.00 90.00
Space group Fm-3m (No. 225)
Symmetry-distinct sites (fractional):
Mg  0.2500  0.2500  0.2500
Be  0.0000  0.0000  0.0000
B  0.0000  0.0000  0.5000

Results
E_form, eV per atom: 0.608



# 10
Compound: ZnRh2Pb
Source: the Alexandria database
Functional: GGA-PBEsol
Structure: optimized geometry

a b c (Å): 4.2589 4.2589 3.4165
angles (deg): 90.00 90.00 90.00
Space group P4/mmm (No. 123)
Symmetry-distinct sites (fractional):
Zn  0.0000  0.0000  0.0000
Rh  0.0000  0.5000  0.5000
Pb  0.5000  0.5000  0.0000

Results
E_form, eV per atom: -0.125



# 11
Compound: LiCu2Te2
Source: the Alexandria database
Functional: GGA-PBEsol
Structure: optimized geometry

a b c (Å): 3.7724 3.7724 14.5194
angles (deg): 90.00 90.00 90.00
Space group I4/mmm (No. 139)
Symmetry-distinct sites (fractional):
Li  0.0000  0.0000  0.0000
Cu  0.0000  0.5000  0.2500
Te  0.0000  0.0000  0.3737

Results
Raw formation energy, eV/atom: -0.256



# 12
Compound: CsGeOs3
Source: the Alexandria database
Functional: GGA-PBEsol
Structure: optimized geometry

a b c (Å): 4.7029 4.7029 4.7029
angles (deg): 90.00 90.00 90.00
Space group Pm-3m (No. 221)
Symmetry-distinct sites (fractional):
Cs  0.0000  0.0000  0.0000
Ge  0.5000  0.5000  0.5000
Os  0.0000  0.5000  0.5000

Results
Energy above the most stable polymorph in this dataset, meV/atom: 0
E_form, eV per atom: 2.147



# 13
Compound: LaMo2Au
Source: the Alexandria database
Functional: GGA-PBEsol
Structure: optimized geometry

a b c (Å): 9.9224 3.2399 5.2635
angles (deg): 90.00 100.59 90.00
Space group C2/m (No. 12)
Symmetry-distinct sites (fractional):
La  0.0000  0.0000  0.0000
Mo  0.2269  0.0000  0.6569
Au  0.0000  0.5000  0.5000

Results
Energy above the most stable polymorph in this dataset, meV/atom: 0
E_form, eV per atom: 0.367



# 14
Compound: RbPrS2
Source: the Alexandria database
Functional: GGA-PBEsol
Structure: optimized geometry

a b c (Å): 4.1934 4.1934 22.7891
angles (deg): 90.00 90.00 120.00
Space group R-3m (No. 166, hexagonal axes)
Symmetry-distinct sites (fractional):
Rb  0.0000  0.0000  0.0000
Pr  0.0000  0.0000  0.5000
S  0.0000  0.0000  0.2335

Results
Raw formation energy, eV/atom: -1.829



# 15
Compound: YFeAg2
Source: the Alexandria database
Functional: GGA-PBEsol
Structure: optimized geometry

a b c (Å): 5.5593 8.1565 3.1824
angles (deg): 90.00 90.00 90.00
Space group Cmmm (No. 65)
Symmetry-distinct sites (fractional):
Y  0.0000  0.0000  0.0000
Fe  0.0000  0.5000  0.0000
Ag  0.2500  0.2500  0.5000

Results
E_form, eV per atom: 0.270



# 16
Compound: NaCa2Bi2
Source: the Alexandria database
Functional: GGA-PBEsol
Structure: optimized geometry

a b c (Å): 9.2083 9.2083 3.7308
angles (deg): 90.00 90.00 90.00
Space group P4/mbm (No. 127)
Symmetry-distinct sites (fractional):
Na  0.0000  0.0000  0.0000
Ca  0.1355  0.3645  0.5000
Bi  0.1643  0.6643  0.0000

Results
E_form, eV per atom: -0.691



# 17
Compound: YMgNi2
Source: the Alexandria database
Functional: GGA-PBEsol
Structure: optimized geometry

a b c (Å): 6.3583 6.3583 6.3583
angles (deg): 90.00 90.00 90.00
Space group F-43m (No. 216)
Symmetry-distinct sites (fractional):
Y  0.0000  0.0000  0.0000
Mg  0.2500  0.2500  0.7500
Ni  0.0000  0.0000  0.5000
Ni  0.2500  0.2500  0.2500

Results
E_form, eV per atom: 0.061



# 18
Compound: TaCo3S
Source: the Alexandria database
Functional: GGA-PBEsol
Structure: optimized geometry

a b c (Å): 4.4238 4.4238 4.4238
angles (deg): 90.00 90.00 90.00
Space group Pm-3m (No. 221)
Symmetry-distinct sites (fractional):
Ta  0.0000  0.0000  0.0000
Co  0.0000  0.0000  0.5000
S  0.5000  0.5000  0.5000

Results
Raw formation energy, eV/atom: 1.713



# 19
Compound: Re3AsRh
Source: the Alexandria database
Functional: GGA-PBEsol
Structure: optimized geometry

a b c (Å): 4.4355 4.4355 4.4355
angles (deg): 90.00 90.00 90.00
Space group Pm-3m (No. 221)
Symmetry-distinct sites (fractional):
Re  0.0000  0.0000  0.5000
As  0.0000  0.0000  0.0000
Rh  0.5000  0.5000  0.5000

Results
E_form, eV per atom: 1.848



# 20
Compound: TaBeOsPb2
Source: the Alexandria database
Functional: GGA-PBEsol
Structure: optimized geometry

a b c (Å): 4.6112 4.6112 4.4383
angles (deg): 90.00 90.00 90.00
Space group P4/mmm (No. 123)
Symmetry-distinct sites (fractional):
Ta  0.0000  0.0000  0.0000
Be  0.0000  0.0000  0.5000
Os  0.5000  0.5000  0.0000
Pb  0.0000  0.5000  0.5000

Results
E_form, eV per atom: 1.403



# 21
Compound: MgTeMoO6
Source: the Alexandria database
Functional: GGA-PBEsol
Structure: optimized geometry

a b c (Å): 5.0378 5.2619 8.7957
angles (deg): 90.00 90.00 90.00
Space group P2_12_12 (No. 18)
Symmetry-distinct sites (fractional):
Mg  0.0000  0.0000  0.0302
Te  0.0000  0.5000  0.2497
Mo  0.0000  0.5000  0.6907
O  0.1522  0.2870  0.5728
O  0.2232  0.6741  0.1081
O  0.2367  0.1767  0.2067

Results
Raw formation energy, eV/atom: -1.887



# 22
Compound: SiMo2Au
Source: the Alexandria database
Functional: GGA-PBEsol
Structure: optimized geometry

a b c (Å): 3.2914 4.3999 8.4703
angles (deg): 90.00 90.00 90.00
Space group Cmm2 (No. 35)
Symmetry-distinct sites (fractional):
Si  0.0000  0.0000  0.0000
Mo  0.0000  0.0000  0.4773
Mo  0.0000  0.5000  0.2266
Au  0.0000  0.5000  0.7487

Results
Raw formation energy, eV/atom: 0.134



# 23
Compound: ZnCo2Os
Source: the Alexandria database
Functional: GGA-PBEsol
Structure: optimized geometry

a b c (Å): 2.6096 2.6096 24.4304
angles (deg): 90.00 90.00 120.00
Space group R-3m (No. 166, hexagonal axes)
Symmetry-distinct sites (fractional):
Zn  0.0000  0.0000  0.0000
Co  0.0000  0.0000  0.2497
Os  0.0000  0.0000  0.5000

Results
E_form, eV per atom: 0.099



# 24
Compound: SrLiCd
Source: the Alexandria database
Functional: GGA-PBEsol
Structure: optimized geometry

a b c (Å): 3.8755 3.8755 10.9725
angles (deg): 90.00 90.00 90.00
Space group I4mm (No. 107)
Symmetry-distinct sites (fractional):
Sr  0.0000  0.0000  0.0000
Li  0.0000  0.0000  0.2940
Cd  0.0000  0.0000  0.6853

Results
Energy above the most stable polymorph in this dataset, meV/atom: 0
E_form, eV per atom: -0.186



# 25
Compound: AgN2O2
Source: the Alexandria database
Functional: GGA-PBEsol
Structure: optimized geometry

a b c (Å): 3.5462 3.5462 3.7806
angles (deg): 90.00 90.00 90.00
Space group P4/mmm (No. 123)
Symmetry-distinct sites (fractional):
Ag  0.0000  0.0000  0.0000
N  0.0000  0.5000  0.5000
O  0.5000  0.5000  0.0000
O  0.5000  0.5000  0.5000

Results
Raw formation energy, eV/atom: 2.158



# 26
Compound: NaMg2TiTc
Source: the Alexandria database
Functional: GGA-PBEsol
Structure: optimized geometry

a b c (Å): 5.2523 5.2523 4.4086
angles (deg): 90.00 90.00 90.00
Space group P4/mmm (No. 123)
Symmetry-distinct sites (fractional):
Na  0.0000  0.0000  0.0000
Mg  0.0000  0.5000  0.5000
Ti  0.5000  0.5000  0.0000
Tc  0.5000  0.5000  0.5000

Results
E_form, eV per atom: 0.446